Entry 1:
Below is a relaxed ScHgTe2 crystal, with properties calculated at the GGA-PBE level.

Values from the calculation:
density = 7.9 g cm⁻³
space group = I4/mmm
size of the total moment = 0.0 μB per cell
raw total energy = -3.66 eV/atom

```
4
Lattice="-2.869 2.869 3.203 2.869 -2.869 3.203 2.869 2.869 -3.203" Properties=species:S:1:pos:R:3 pbc="T T T"
Sc 0.000 0.000 0.000
Hg 0.000 0.000 3.203
Te 2.869 0.000 1.601
Te 0.000 2.869 1.601
```

Entry 2:
Below is a relaxed Mn2VCrCl crystal, with properties calculated at the GGA-PBE level.

Values from the calculation:
density = 4.2 g cm⁻³
space group = P4/mmm
size of the total moment = 5.2 μB per cell
raw total energy = -6.58 eV/atom

```
5
Lattice="4.830 0.000 0.000 0.000 4.830 0.000 0.000 0.000 4.219" Properties=species:S:1:pos:R:3 pbc="T T T"
Mn 0.000 2.415 0.000
Mn 2.415 0.000 0.000
V 0.000 0.000 0.000
Cr 0.000 0.000 2.109
Cl 2.415 2.415 2.109
```

Entry 3:
Below is a relaxed Y5Tl6Ag crystal, with properties calculated at the GGA-PBE level.

Values from the calculation:
density = 9.2 g cm⁻³
energy of formation = -3.619 eV per formula unit
space group = Immm
size of the total moment = 0.0 μB per cell

```
12
Lattice="-2.608 3.824 8.067 2.608 -3.824 8.067 2.608 3.824 -8.067" Properties=species:S:1:pos:R:3 pbc="T T T"
Y 0.000 0.000 0.000
Y 2.608 0.000 2.796
Y 0.000 0.000 5.655
Y 0.000 0.000 10.480
Y 0.000 3.824 5.272
Tl 2.608 -1.923 5.397
Tl 2.608 1.850 0.000
Tl 0.000 1.900 2.670
Tl 2.608 1.923 5.397
Tl 0.000 1.974 8.067
Tl 0.000 5.747 2.670
Ag 0.000 3.824 0.000
```

Entry 4:
Below is a relaxed BaTaTc2 crystal, with properties calculated at the GGA-PBE level.

Values from the calculation:
density = 10.6 g cm⁻³
energy of formation = 2.553 eV per formula unit
space group = Cmmm
size of the total moment = 0.0 μB per cell

```
4
Lattice="1.665 -2.517 0.000 1.665 2.517 0.000 0.000 0.000 9.595" Properties=species:S:1:pos:R:3 pbc="T T T"
Ba 0.000 0.000 0.000
Ta 0.000 0.000 4.798
Tc 1.665 0.000 2.791
Tc 1.665 0.000 6.804
```

Entry 5:
Below is a relaxed ReRhSe2 crystal, with properties calculated at the GGA-PBE level.

Values from the calculation:
density = 8.6 g cm⁻³
space group = I-42d
size of the total moment = 0.0 μB per cell
raw total energy = -6.42 eV/atom

```
8
Lattice="-2.810 2.810 5.451 2.810 -2.810 5.451 2.810 2.810 -5.451" Properties=species:S:1:pos:R:3 pbc="T T T"
Re 0.000 0.000 0.000
Re 0.000 2.810 2.726
Rh 2.810 0.000 2.726
Rh 0.000 0.000 5.451
Se 4.215 1.374 -1.363
Se 1.374 1.405 1.363
Se -1.405 1.435 4.088
Se 1.435 1.405 6.814
```

Entry 6:
Below is a relaxed Tb5Pm4Ho2 crystal, with properties calculated at the GGA-PBE level.

Values from the calculation:
density = 7.6 g cm⁻³
energy of formation = 2.444 eV per formula unit
space group = C2/m
size of the total moment = 0.0 μB per cell

```
11
Lattice="11.941 -1.750 0.000 11.941 1.750 0.000 -1.337 0.000 8.874" Properties=species:S:1:pos:R:3 pbc="T T T"
Tb 0.000 0.000 0.000
Tb 5.490 0.000 5.997
Tb 7.648 0.000 0.913
Tb 14.896 0.000 7.962
Tb 17.055 0.000 2.877
Pm 2.379 0.000 4.739
Pm 10.922 0.000 2.778
Pm 11.622 0.000 6.096
Pm 20.165 0.000 4.135
Ho 8.438 0.000 7.119
Ho 14.107 0.000 1.755
```

Entry 7:
Below is a relaxed Lu2B6Rh9 crystal, with properties calculated at the GGA-PBE level.

Values from the calculation:
density = 9.6 g cm⁻³
energy of formation = -10.681 eV per formula unit
space group = P6/mmm
size of the total moment = 0.0 μB per cell

```
17
Lattice="5.579 0.000 0.000 -2.789 4.831 0.000 0.000 0.000 8.574" Properties=species:S:1:pos:R:3 pbc="T T T"
Lu 0.000 0.000 1.755
Lu 0.000 0.000 6.819
B 0.000 3.221 1.437
B 0.000 3.221 4.287
B 0.000 3.221 7.138
B 2.789 1.610 1.437
B 2.789 1.610 4.287
B 2.789 1.610 7.138
Rh -1.395 2.416 0.000
Rh -1.395 2.416 2.873
Rh -1.395 2.416 5.701
Rh 2.789 0.000 0.000
Rh 2.789 0.000 2.873
Rh 2.789 0.000 5.701
Rh 1.395 2.416 0.000
Rh 1.395 2.416 2.873
Rh 1.395 2.416 5.701
```

Entry 8:
Below is a relaxed LiMgZr2 crystal, with properties calculated at the GGA-PBE level.

Values from the calculation:
density = 4.2 g cm⁻³
energy of formation = 0.603 eV per formula unit
space group = Imm2
size of the total moment = 0.0 μB per cell

```
4
Lattice="-1.580 2.648 4.992 1.580 -2.648 4.992 1.580 2.648 -4.992" Properties=species:S:1:pos:R:3 pbc="T T T"
Li 0.000 0.000 0.000
Mg 0.000 2.648 2.819
Zr 1.580 0.000 2.496
Zr 0.000 0.000 5.087
```

> What is the density in the fourth record?

10.6 g cm⁻³